Record 1
Computed, not measured: ErPuCo2 after structural relaxation at the PBE level of DFT.

Values from the calculation:
Energy in eV per atom: -8.332
Energy relative to the elements in eV/atom: -0.06

a b c (Å): 4.691 4.691 3.279
angles (deg): 90.00 90.00 90.00
Space group P4/mmm (No. 123)
One atom of each set of equivalent atoms:
Er 0.000 0.000 0.000
Pu 0.500 0.500 0.000
Co 0.000 0.500 0.500



Record 2
Computed, not measured: CaDySn2 after structural relaxation at the PBE level of DFT.

Values from the calculation:
Energy in eV per atom: -4.242
Energy relative to the elements in eV/atom: -0.59

a b c (Å): 4.977 4.977 4.395
angles (deg): 90.00 90.00 90.00
Space group P4/mmm (No. 123)
One atom of each set of equivalent atoms:
Ca 0.000 0.000 0.000
Dy 0.500 0.500 0.000
Sn 0.000 0.500 0.500



Record 3
Computed, not measured: Cs2TlIn2 after structural relaxation at the PBE level of DFT.

Values from the calculation:
Energy in eV per atom: -1.996
ΔE to the lowest computed polymorph in meV/atom: 0
Energy relative to the elements in eV/atom: -0.09

a b c (Å): 7.163 14.792 9.605
angles (deg): 90.00 111.77 90.00
Space group C2/m (No. 12)
One atom of each set of equivalent atoms:
Cs 0.154 0.149 0.309
Tl 0.000 0.357 0.000
In 0.138 0.500 0.278
In 0.206 0.000 0.000



Record 4
Computed, not measured: BaY3Pb after structural relaxation at the PBE level of DFT.

Values from the calculation:
Energy in eV per atom: -4.029
ΔE to the lowest computed polymorph in meV/atom: 779
Energy relative to the elements in eV/atom: 0.98

a b c (Å): 5.711 5.711 5.711
angles (deg): 90.00 90.00 90.00
Space group Pm-3m (No. 221)
One atom of each set of equivalent atoms:
Ba 0.000 0.000 0.000
Y 0.000 0.000 0.500
Pb 0.500 0.500 0.500



Record 5
Computed, not measured: DyMgSc after structural relaxation at the PBE level of DFT.

Values from the calculation:
Energy in eV per atom: -4.196
ΔE to the lowest computed polymorph in meV/atom: 1
Energy relative to the elements in eV/atom: -0.02

a b c (Å): 3.457 3.457 13.191
angles (deg): 90.00 90.00 90.00
Space group I4mm (No. 107)
One atom of each set of equivalent atoms:
Dy 0.000 0.000 0.000
Mg 0.000 0.000 0.325
Sc 0.000 0.000 0.672



Record 6
Computed, not measured: CdSnPb after structural relaxation at the PBE level of DFT.

Values from the calculation:
Energy in eV per atom: -2.818
ΔE to the lowest computed polymorph in meV/atom: 2
Energy relative to the elements in eV/atom: 0.06

a b c (Å): 3.4704 3.4704 7.9887
angles (deg): 90.00 90.00 120.00
Space group P3m1 (No. 156)
One atom of each set of equivalent atoms:
Cd 0.0000 0.0000 0.0000
Sn 0.6667 0.3333 0.3135
Pb 0.3333 0.6667 0.6656



energy relative to the elements of number 1 (ErPuCo2)? -0.06 eV/atom



Among the records above, which one has the lowest energy? ErPuCo2



Which of these has the lowest energy? ErPuCo2



What is the formula in the first record? ErPuCo2